This record from the Alexandria database describes a geometry-optimized SiB2HN structure. The functional is GGA-PBE.

## Properties
**Raw total energy**: -5.038 eV per atom
**Volume**: 8.4 A^3/atom
**Space-group type**: P4/mmm, No. 123

Lattice parameters (Å, degrees): 2.702 2.702 5.729 90.00 90.00 90.00
Atoms (fractional coordinates):
Si 0.000 0.000 0.000
B 0.000 0.500 0.500
B 0.500 0.000 0.500
H 0.000 0.000 0.500
N 0.500 0.500 0.000

---

This record from the Alexandria database describes a geometry-optimized SrB2HN2 structure. The functional is GGA-PBE.

## Properties
**Raw total energy**: -6.441 eV per atom
**Volume**: 10.7 A^3/atom
**Space-group type**: P2_1/m, No. 11

Lattice parameters (Å, degrees): 5.338 4.461 5.593 90.00 105.32 90.00
Atoms (fractional coordinates):
Sr 0.161 0.250 0.305
Sr 0.839 0.750 0.695
B 0.373 0.025 0.842
B 0.373 0.475 0.842
B 0.627 0.525 0.158
B 0.627 0.975 0.158
H 0.426 0.750 0.186
H 0.574 0.250 0.814
N 0.170 0.250 0.836
N 0.343 0.750 0.698
N 0.657 0.250 0.302
N 0.830 0.750 0.164

---

This record from the Alexandria database describes a geometry-optimized YB3H24N4 structure. The functional is GGA-PBE.

## Properties
**Raw total energy**: -4.761 eV per atom
**Volume**: 9.2 A^3/atom
**Space-group type**: Pnma, No. 62

Lattice parameters (Å, degrees): 11.707 12.093 8.301 90.00 90.00 90.00
Atoms (fractional coordinates):
Y 0.155 0.250 0.025
Y 0.345 0.750 0.525
Y 0.655 0.250 0.475
Y 0.845 0.750 0.975
B 0.106 0.750 0.485
B 0.162 0.029 0.136
B 0.162 0.471 0.136
B 0.338 0.529 0.636
B 0.338 0.971 0.636
B 0.394 0.250 0.985
B 0.606 0.750 0.015
B 0.662 0.029 0.364
B 0.662 0.471 0.364
B 0.838 0.529 0.864
B 0.838 0.971 0.864
B 0.894 0.250 0.515
H 0.050 0.665 0.475
H 0.050 0.835 0.475
H 0.063 0.057 0.840
H 0.063 0.443 0.840
H 0.066 0.150 0.698
H 0.066 0.350 0.698
H 0.072 0.083 0.125
H 0.072 0.417 0.125
H 0.073 0.250 0.378
H 0.083 0.750 0.838
H 0.094 0.681 0.009
H 0.094 0.819 0.009
H 0.155 0.750 0.618
H 0.156 0.552 0.049
H 0.156 0.948 0.049
H 0.176 0.006 0.277
H 0.176 0.494 0.277
H 0.179 0.750 0.376
H 0.185 0.085 0.754
H 0.185 0.415 0.754
H 0.194 0.181 0.367
H 0.194 0.319 0.367
H 0.243 0.085 0.086
H 0.243 0.415 0.086
H 0.257 0.585 0.586
H 0.257 0.915 0.586
H 0.306 0.681 0.867
H 0.306 0.819 0.867
H 0.315 0.585 0.254
H 0.315 0.915 0.254
H 0.321 0.250 0.876
H 0.324 0.506 0.777
H 0.324 0.994 0.777
H 0.344 0.052 0.549
H 0.344 0.448 0.549
H 0.345 0.250 0.118
H 0.406 0.181 0.509
H 0.406 0.319 0.509
H 0.417 0.250 0.338
H 0.427 0.750 0.878
H 0.428 0.583 0.625
H 0.428 0.917 0.625
H 0.434 0.650 0.198
H 0.434 0.850 0.198
H 0.437 0.557 0.340
H 0.437 0.943 0.340
H 0.450 0.165 0.975
H 0.450 0.335 0.975
H 0.550 0.665 0.025
H 0.550 0.835 0.025
H 0.563 0.057 0.660
H 0.563 0.443 0.660
H 0.566 0.150 0.802
H 0.566 0.350 0.802
H 0.572 0.083 0.375
H 0.572 0.417 0.375
H 0.573 0.250 0.122
H 0.583 0.750 0.662
H 0.594 0.681 0.491
H 0.594 0.819 0.491
H 0.655 0.750 0.882
H 0.656 0.552 0.451
H 0.656 0.948 0.451
H 0.676 0.006 0.223
H 0.676 0.494 0.223
H 0.679 0.750 0.124
H 0.685 0.085 0.746
H 0.685 0.415 0.746
H 0.694 0.181 0.133
H 0.694 0.319 0.133
H 0.743 0.085 0.414
H 0.743 0.415 0.414
H 0.757 0.585 0.914
H 0.757 0.915 0.914
H 0.806 0.681 0.633
H 0.806 0.819 0.633
H 0.815 0.585 0.246
H 0.815 0.915 0.246
H 0.821 0.250 0.624
H 0.824 0.506 0.723
H 0.824 0.994 0.723
H 0.844 0.052 0.951
H 0.844 0.448 0.951
H 0.845 0.250 0.382
H 0.906 0.181 0.991
H 0.906 0.319 0.991
H 0.917 0.250 0.162
H 0.927 0.750 0.622
H 0.928 0.583 0.875
H 0.928 0.917 0.875
H 0.934 0.650 0.302
H 0.934 0.850 0.302
H 0.937 0.557 0.160
H 0.937 0.943 0.160
H 0.950 0.165 0.525
H 0.950 0.335 0.525
N 0.058 0.750 0.956
N 0.111 0.121 0.796
N 0.111 0.379 0.796
N 0.153 0.250 0.325
N 0.347 0.750 0.825
N 0.389 0.621 0.296
N 0.389 0.879 0.296
N 0.442 0.250 0.456
N 0.558 0.750 0.544
N 0.611 0.121 0.704
N 0.611 0.379 0.704
N 0.653 0.250 0.175
N 0.847 0.750 0.675
N 0.889 0.621 0.204
N 0.889 0.879 0.204
N 0.942 0.250 0.044

---

This record from the Alexandria database describes a geometry-optimized YB3H15N structure. The functional is GGA-PBE.

## Properties
**Raw total energy**: -4.599 eV per atom
**Volume**: 9.5 A^3/atom
**Space-group type**: Cmc2_1, No. 36

Lattice parameters (Å, degrees): 5.499 5.499 12.546 90.00 90.00 88.74
Atoms (fractional coordinates):
Y 0.218 0.782 0.500
Y 0.782 0.218 0.000
B 0.163 0.285 0.477
B 0.285 0.163 0.977
B 0.293 0.707 0.694
B 0.707 0.293 0.194
B 0.715 0.837 0.477
B 0.837 0.715 0.977
H 0.010 0.569 0.973
H 0.079 0.668 0.670
H 0.122 0.669 0.267
H 0.149 0.154 0.399
H 0.150 0.177 0.562
H 0.154 0.149 0.899
H 0.177 0.150 0.062
H 0.331 0.878 0.267
H 0.332 0.668 0.787
H 0.332 0.921 0.670
H 0.360 0.387 0.474
H 0.387 0.360 0.974
H 0.408 0.592 0.288
H 0.422 0.578 0.636
H 0.431 0.990 0.973
H 0.569 0.010 0.473
H 0.578 0.422 0.136
H 0.592 0.408 0.788
H 0.613 0.640 0.474
H 0.640 0.613 0.974
H 0.668 0.079 0.170
H 0.668 0.332 0.287
H 0.669 0.122 0.767
H 0.823 0.850 0.562
H 0.846 0.851 0.399
H 0.850 0.823 0.062
H 0.851 0.846 0.899
H 0.878 0.331 0.767
H 0.921 0.332 0.170
H 0.990 0.431 0.473
N 0.277 0.723 0.305
N 0.723 0.277 0.805

---

This record from the Alexandria database describes a geometry-optimized NaB2H6 structure. The functional is GGA-PBE.

## Properties
**Raw total energy**: -3.913 eV per atom
**Volume**: 10.8 A^3/atom
**Space-group type**: C2/c, No. 15
**Offset from the most stable computed form**: 6 meV per atom

Lattice parameters (Å, degrees): 5.144 5.144 7.682 100.81 100.81 82.62
Atoms (fractional coordinates):
Na 0.055 0.945 0.750
Na 0.945 0.055 0.250
B 0.019 0.384 0.582
B 0.384 0.019 0.082
B 0.616 0.981 0.918
B 0.981 0.616 0.418
H 0.064 0.482 0.740
H 0.158 0.763 0.454
H 0.221 0.305 0.516
H 0.237 0.842 0.046
H 0.305 0.221 0.016
H 0.482 0.064 0.240
H 0.518 0.936 0.760
H 0.695 0.779 0.984
H 0.763 0.158 0.954
H 0.779 0.695 0.484
H 0.842 0.237 0.546
H 0.936 0.518 0.260

---

This record from the Alexandria database describes a geometry-optimized NaBH4 structure. The functional is GGA-PBE.

## Properties
**Raw total energy**: -3.385 eV per atom
**Volume**: 7.0 A^3/atom
**Space-group type**: P2_1/c, No. 14

Lattice parameters (Å, degrees): 4.192 4.543 4.408 90.00 90.28 90.00
Atoms (fractional coordinates):
Na 0.000 0.000 0.000
Na 0.000 0.500 0.500
B 0.500 0.000 0.500
B 0.500 0.500 0.000
H 0.213 0.071 0.499
H 0.213 0.429 0.999
H 0.436 0.749 0.250
H 0.436 0.751 0.750
H 0.564 0.249 0.250
H 0.564 0.251 0.750
H 0.787 0.571 0.001
H 0.787 0.929 0.501

---

Which of these has the highest raw total energy?
NaBH4

---

Which value of volume does entry 5 give?
10.8 A^3/atom

---

Repeat the sixth record exactly.
This record from the Alexandria database describes a geometry-optimized NaBH4 structure. The functional is GGA-PBE.

## Properties
**Raw total energy**: -3.385 eV per atom
**Volume**: 7.0 A^3/atom
**Space-group type**: P2_1/c, No. 14

Lattice parameters (Å, degrees): 4.192 4.543 4.408 90.00 90.28 90.00
Atoms (fractional coordinates):
Na 0.000 0.000 0.000
Na 0.000 0.500 0.500
B 0.500 0.000 0.500
B 0.500 0.500 0.000
H 0.213 0.071 0.499
H 0.213 0.429 0.999
H 0.436 0.749 0.250
H 0.436 0.751 0.750
H 0.564 0.249 0.250
H 0.564 0.251 0.750
H 0.787 0.571 0.001
H 0.787 0.929 0.501

---

volume of number 3 (YB3H24N4)?
9.2 A^3/atom